1.
TcAs2CSe | PBE | optimized geometry

Geometry as POSCAR:
```
TcAs2CSe
1.0
-3.324 2.127 -1.571
-0.079 -2.602 -3.356
-2.647 -2.601 2.078
C As Tc Se
1 2 1 1
Direct
0.000 0.000 0.000
0.000 0.500 0.000
0.500 0.000 0.000
0.500 0.500 0.500
0.000 0.000 0.500
```

crystal system	tetragonal
volume	76.7	Å³/cell
formation energy without anion corrections	1240.9	meV per atom
total energy	-26.17	eV for the cell shown

2.
Sm2Er6Tm3 | PBE | optimized geometry

Geometry as POSCAR:
```
Sm2Er6Tm3
1.0
-5.106 1.273 1.912
-2.322 -3.087 4.053
2.680 6.971 10.710
Sm Er Tm
2 6 3
Direct
0.455 0.455 0.636
0.545 0.545 0.364
0.734 0.734 0.799
0.266 0.266 0.201
0.917 0.917 0.248
0.083 0.083 0.752
0.639 0.639 0.083
0.361 0.361 0.917
0.000 0.000 0.000
0.828 0.828 0.516
0.172 0.172 0.484
```

crystal system	trigonal
volume	343.4	Å³/cell
total energy	-48.89	eV for the cell shown
formation energy	0.121	eV/atom

3.
MnGeIr3 | PBE | optimized geometry

Geometry as POSCAR:
```
MnGeIr3
1.0
4.490 0.000 0.000
0.000 4.490 0.000
0.000 0.000 4.490
Ge Ir Mn
1 3 1
Direct
0.500 0.500 0.500
0.000 0.500 0.000
0.000 0.000 0.500
0.500 0.000 0.000
0.000 0.000 0.000
```

crystal system	cubic
volume	90.5	Å³/cell
total energy	-34.02	eV for the cell shown
formation energy	1.270	eV/atom

4.
AcMgInGa | PBE | optimized geometry

Geometry as POSCAR:
```
AcMgInGa
1.0
-2.206 -1.780 -4.557
-2.194 -4.894 -0.187
-5.327 -0.540 -0.371
Ac Mg Ga In
1 1 1 1
Direct
0.000 0.000 0.000
0.500 0.500 0.500
0.250 0.250 0.250
0.750 0.750 0.750
```

crystal system	cubic
volume	109.3	Å³/cell
total energy	-12.62	eV for the cell shown
formation energy	-0.289	eV/atom

> What is the volume in the first record?

76.7 Å³/cell

> The lowest volume belongs to which entry?

TcAs2CSe